# 1
VASP calculation (PBE-GGA) on a geometry-optimized Y3Ho2Al4 structure.

Lattice parameters (Å, degrees): 5.1120 5.1120 9.7117 90.00 90.00 120.00
Space group P-3m1 (No. 164)
Unique sites:
Y1 0.0000 0.0000 0.0000
Y2 0.3333 0.6667 0.5822
Ho1 0.3333 0.6667 0.2173
Al1 0.0000 0.0000 0.3512
Al2 0.3333 0.6667 0.9008

Results
- Total DFT energy (no corrections): -5.19 eV/atom

***

# 2
VASP calculation (PBE-GGA) on a geometry-optimized ZrCdIn structure.

Lattice parameters (Å, degrees): 2.992 5.335 5.350 90.00 90.00 90.00
Space group Pmmm (No. 47)
Unique sites:
Zr1 0.000 0.000 0.000
Cd1 0.500 0.000 0.500
In1 0.500 0.500 0.000

Results
- Total DFT energy (no corrections): -4.00 eV/atom

***

# 3
VASP calculation (PBE-GGA) on a geometry-optimized Gd2HfZr structure.

Lattice parameters (Å, degrees): 4.671 4.671 4.853 90.00 90.00 90.00
Space group P4/mmm (No. 123)
Unique sites:
Gd1 0.000 0.500 0.000
Hf1 0.000 0.000 0.500
Zr1 0.500 0.500 0.500

Results
- Total DFT energy (no corrections): -11.49 eV/atom

***

# 4
VASP calculation (PBE-GGA) on a geometry-optimized SiOs2Pb structure.

Lattice parameters (Å, degrees): 8.552 2.991 5.957 90.00 100.77 90.00
Space group Cm (No. 8)
Unique sites:
Si1 0.000 0.000 0.000
Os1 0.078 0.500 0.721
Os2 0.283 0.000 0.008
Pb1 0.310 0.500 0.440

Results
- Total DFT energy (no corrections): -7.46 eV/atom
- Formation energy from raw total energies: 0.442 eV per atom
- Relative energy among the computed polymorphs: 86 meV per atom

***

# 5
VASP calculation (PBE-GGA) on a geometry-optimized Pm2RuPb structure.

Lattice parameters (Å, degrees): 7.424 7.424 7.424 90.00 90.00 90.00
Space group Fm-3m (No. 225)
Unique sites:
Pm1 0.250 0.250 0.250
Ru1 0.000 0.000 0.000
Pb1 0.000 0.000 0.500

Results
- Total DFT energy (no corrections): -5.81 eV/atom
- Relative energy among the computed polymorphs: 13 meV per atom

***

# 6
VASP calculation (PBE-GGA) on a geometry-optimized LaSiAsP2 structure.

Lattice parameters (Å, degrees): 5.338 5.338 5.596 90.00 90.00 90.00
Space group P4/mmm (No. 123)
Unique sites:
La1 0.000 0.000 0.000
Si1 0.500 0.500 0.500
As1 0.000 0.000 0.500
P1 0.000 0.500 0.000

Results
- Total DFT energy (no corrections): -4.02 eV/atom
- Formation energy from raw total energies: 1.147 eV per atom

***

# 7
VASP calculation (PBE-GGA) on a geometry-optimized YMnSb3 structure.

Lattice parameters (Å, degrees): 5.049 5.049 5.049 90.00 90.00 90.00
Space group Pm-3m (No. 221)
Unique sites:
Y1 0.000 0.000 0.000
Mn1 0.500 0.500 0.500
Sb1 0.000 0.500 0.500

Results
- Total DFT energy (no corrections): -5.42 eV/atom
- Formation energy from raw total energies: 0.177 eV per atom
- Relative energy among the computed polymorphs: 653 meV per atom